(1)
VASP calculation (PBE-GGA) on Y3GeI after structural relaxation.

```
Y3GeI
1.0
-1.950 4.967 1.394
-4.105 -2.396 2.797
3.125 -0.049 4.544
I Y Ge
1 3 1
Cartesian
-1.465 1.261 4.368
-0.975 2.483 0.697
-2.052 -1.198 1.399
1.563 -0.024 2.272
0.000 0.000 0.000
```

Computed properties:
SG	Pm-3m
formation energy from raw total energies	-0.196	eV/atom


(2)
VASP calculation (PBE-GGA) on Y2WAu after structural relaxation.

```
Y2WAu
1.0
-1.294 -2.844 -0.692
1.970 -1.406 2.094
-6.145 1.195 6.584
Y W Au
2 1 1
Cartesian
-5.856 1.139 6.274
-1.493 -1.769 2.662
-4.080 -1.266 5.435
-3.257 0.633 3.490
```

Computed properties:
SG	P4mm
formation energy from the elements	225	meV/atom